Record 1
5
Lattice="-2.4269 -0.0394 -4.4143 0.4499 -5.0134 -0.2026 -4.3915 -0.4918 2.4188" Properties=species:S:1:pos:R:3 comment="GGA-PBE CsScNb3, relaxed" e_form_ev_per_fu=11.58 polymorph_energy_mev_per_atom=315 pbc="T T T"
Nb -2.1958 -0.2459 1.2094
Nb -1.2135 -0.0197 -2.2072
Nb 0.2249 -2.5067 -0.1013
Cs 0.0000 0.0000 0.0000
Sc -3.1843 -2.7723 -1.0991

Record 2
20
Lattice="-2.7717 -2.7585 1.1987 -0.6659 -2.0161 -6.1794 10.1845 -6.7247 1.0965" Properties=species:S:1:pos:R:3 comment="GGA-PBE Zr2As3Rh5, relaxed" e_form_ev_per_fu=-7.28 pbc="T T T"
As 3.1533 -7.2658 -2.4513
As 0.7555 -0.7358 0.0538
As 3.7285 -3.8252 -0.1813
As 6.3042 -9.8167 -1.0359
As 6.8281 -6.3799 1.1067
As 0.2057 -4.2508 -2.3288
Rh -0.2038 -4.9033 -4.7772
Rh 0.5621 -2.1975 -3.7574
Rh 1.8974 -5.3915 -1.0421
Rh 4.8046 -9.0922 -2.8361
Rh 4.6819 -6.6152 -4.3974
Rh 6.7161 -7.3064 -1.2844
Rh 6.3329 -8.8536 1.2468
Rh 1.9068 -6.9068 -4.5077
Rh 4.5753 -5.3943 -1.8342
Rh 1.9224 -2.4672 -1.2325
Zr 4.1274 -7.0046 0.4023
Zr 2.6752 -4.3261 -3.7696
Zr -1.2542 -2.2986 -1.2120
Zr 7.9299 -9.4165 -3.3338